# 1
DFT (PBE) results for PmBe2Pt8 after structural relaxation.

Values from the calculation:
Energy of formation from the pure elements in eV per atom: -0.202
DOS at the Fermi energy in states/eV per cell: 8.85
Energy in eV/atom: -5.70

CIF file:
```
data_PmBe2Pt8
_chemical_formula_sum 'Pm1 Be2 Pt8'
_space_group_name_H-M_alt 'P 4/m m m'
_space_group_IT_number 123
_space_group_name_Hall '-P 4 2'
_cell_length_a 5.3101
_cell_length_b 5.3101
_cell_length_c 7.6291
_cell_angle_alpha 90.00
_cell_angle_beta 90.00
_cell_angle_gamma 90.00
loop_
_atom_site_label
_atom_site_fract_x
_atom_site_fract_y
_atom_site_fract_z
Pm1 0.0000 0.0000 0.0000
Be1 0.0000 0.5000 0.5000
Pt1 0.2528 0.2528 0.3021
```

# 2
DFT (PBE) results for SrBiAu2 after structural relaxation.

Values from the calculation:
Energy of formation from the pure elements in eV per atom: -0.421
DOS at the Fermi energy in states/eV per cell: 3.79
Energy in eV/atom: -3.45

CIF file:
```
data_SrBiAu2
_chemical_formula_sum 'Sr2 Bi2 Au4'
_space_group_name_H-M_alt 'C m m m'
_space_group_IT_number 65
_space_group_name_Hall '-C 2 2'
_cell_length_a 5.8270
_cell_length_b 10.2391
_cell_length_c 3.7388
_cell_angle_alpha 90.00
_cell_angle_beta 90.00
_cell_angle_gamma 90.00
loop_
_atom_site_label
_atom_site_fract_x
_atom_site_fract_y
_atom_site_fract_z
Sr1 0.0000 0.0000 0.0000
Bi1 0.0000 0.5000 0.5000
Au1 0.2500 0.2500 0.5000
```

# 3
DFT (PBE) results for Ce6Al after structural relaxation.

Values from the calculation:
Energy of formation from the pure elements in eV per atom: 0.915
DOS at the Fermi energy in states/eV per cell: 39.96
Energy in eV/atom: -4.71

CIF file:
```
data_Ce6Al
_chemical_formula_sum 'Ce12 Al2'
_space_group_name_H-M_alt 'I m -3 m'
_space_group_IT_number 229
_space_group_name_Hall '-I 4 2 3'
_cell_length_a 7.5782
_cell_length_b 7.5782
_cell_length_c 7.5782
_cell_angle_alpha 90.00
_cell_angle_beta 90.00
_cell_angle_gamma 90.00
loop_
_atom_site_label
_atom_site_fract_x
_atom_site_fract_y
_atom_site_fract_z
Ce1 0.0000 0.2500 0.5000
Al1 0.0000 0.0000 0.0000
```

# 4
DFT (PBE) results for CsGaSn3 after structural relaxation.

Values from the calculation:
Energy of formation from the pure elements in eV per atom: -0.084
DOS at the Fermi energy in states/eV per cell: 3.37
ΔE to the lowest computed polymorph in meV/atom: 51
Energy in eV/atom: -3.26

CIF file:
```
data_CsGaSn3
_chemical_formula_sum 'Cs2 Ga2 Sn6'
_space_group_name_H-M_alt 'P 1'
_space_group_IT_number 1
_space_group_name_Hall 'P 1'
_cell_length_a 6.8163
_cell_length_b 6.9749
_cell_length_c 7.8758
_cell_angle_alpha 89.29
_cell_angle_beta 86.71
_cell_angle_gamma 89.62
loop_
_atom_site_label
_atom_site_fract_x
_atom_site_fract_y
_atom_site_fract_z
Cs1 0.0000 0.0000 0.0000
Cs2 0.4275 0.4947 0.1567
Ga1 0.1577 0.9605 0.5400
Ga2 0.8563 0.4926 0.7852
Sn1 0.2381 0.5089 0.6294
Sn2 0.5397 0.9978 0.3842
Sn3 0.5443 0.2176 0.7265
Sn4 0.5515 0.7809 0.7285
Sn5 0.8730 0.6971 0.4339
Sn6 0.8917 0.2634 0.4517
```

# 5
DFT (PBE) results for BaTl2Rh after structural relaxation.

Values from the calculation:
Energy of formation from the pure elements in eV per atom: -0.042
DOS at the Fermi energy in states/eV per cell: 2.89
Energy in eV/atom: -3.54

CIF file:
```
data_BaTl2Rh
_chemical_formula_sum 'Ba1 Tl2 Rh1'
_space_group_name_H-M_alt 'P 4 m m'
_space_group_IT_number 99
_space_group_name_Hall 'P 4 -2'
_cell_length_a 3.7447
_cell_length_b 3.7447
_cell_length_c 7.9556
_cell_angle_alpha 90.00
_cell_angle_beta 90.00
_cell_angle_gamma 90.00
loop_
_atom_site_label
_atom_site_fract_x
_atom_site_fract_y
_atom_site_fract_z
Ba1 0.0000 0.0000 0.0000
Tl1 0.0000 0.0000 0.4167
Tl2 0.5000 0.5000 0.6621
Rh1 0.5000 0.5000 0.2747
```

# 6
DFT (PBE) results for CuAg2Au3 after structural relaxation.

Values from the calculation:
Energy of formation from the pure elements in eV per atom: -0.030
DOS at the Fermi energy in states/eV per cell: 4.76
Energy in eV/atom: -3.30

CIF file:
```
data_CuAg2Au3
_chemical_formula_sum 'Cu4 Ag8 Au12'
_space_group_name_H-M_alt 'C 1 2/m 1'
_space_group_IT_number 12
_space_group_name_Hall '-C 2y'
_cell_length_a 4.0082
_cell_length_b 12.3629
_cell_length_c 8.2824
_cell_angle_alpha 90.00
_cell_angle_beta 91.04
_cell_angle_gamma 90.00
loop_
_atom_site_label
_atom_site_fract_x
_atom_site_fract_y
_atom_site_fract_z
Cu1 0.0000 0.1708 0.0000
Ag1 0.0000 0.1671 0.5000
Ag2 0.0000 0.5000 0.0000
Ag3 0.0000 0.5000 0.5000
Au1 0.0004 0.3312 0.2341
Au2 0.0018 0.0000 0.2428
```

# 7
DFT (PBE) results for PrErZr after structural relaxation.

Values from the calculation:
Energy of formation from the pure elements in eV per atom: 0.118
DOS at the Fermi energy in states/eV per cell: 3.32
ΔE to the lowest computed polymorph in meV/atom: 12
Energy in eV/atom: -5.85

CIF file:
```
data_PrErZr
_chemical_formula_sum 'Pr1 Er1 Zr1'
_space_group_name_H-M_alt 'P 3 m 1'
_space_group_IT_number 156
_space_group_name_Hall 'P 3 -2"'
_cell_length_a 3.4496
_cell_length_b 3.4496
_cell_length_c 8.5060
_cell_angle_alpha 90.00
_cell_angle_beta 90.00
_cell_angle_gamma 120.00
loop_
_atom_site_label
_atom_site_fract_x
_atom_site_fract_y
_atom_site_fract_z
Pr1 0.0000 0.0000 0.0000
Er1 0.3333 0.6667 0.6282
Zr1 0.6667 0.3333 0.3218
```

# 8
DFT (PBE) results for Sr2MgTiO5 after structural relaxation.

Values from the calculation:
DOS at the Fermi energy in states/eV per cell: 0.00
Formation energy from raw total energies in meV/atom: -2846.7
Energy in eV/atom: -7.03

CIF file:
```
data_Sr2MgTiO5
_chemical_formula_sum 'Sr8 Mg4 Ti4 O20'
_space_group_name_H-M_alt 'C m c 21'
_space_group_IT_number 36
_space_group_name_Hall 'C 2c -2'
_cell_length_a 3.4086
_cell_length_b 13.2208
_cell_length_c 10.9510
_cell_angle_alpha 90.00
_cell_angle_beta 90.00
_cell_angle_gamma 90.00
loop_
_atom_site_label
_atom_site_fract_x
_atom_site_fract_y
_atom_site_fract_z
Sr1 0.0000 0.1022 0.0000
Sr2 0.0000 0.1553 0.6306
Mg1 0.0000 0.2159 0.3546
Ti1 0.0000 0.4662 0.7758
O1 0.0000 0.0512 0.3539
O2 0.0000 0.2803 0.9818
O3 0.0000 0.3237 0.7319
O4 0.0000 0.3821 0.3265
O5 0.0000 0.4941 0.1170
```

# 9
DFT (PBE) results for Ti15Zn2Pb2 after structural relaxation.

Values from the calculation:
Energy of formation from the pure elements in eV per atom: 0.256
DOS at the Fermi energy in states/eV per cell: 69.96
Energy in eV/atom: -6.50

CIF file:
```
data_Ti15Zn2Pb2
_chemical_formula_sum 'Ti45 Zn6 Pb6'
_space_group_name_H-M_alt 'R -3 m'
_space_group_IT_number 166
_space_group_name_Hall '-R 3 2"'
_cell_length_a 9.0559
_cell_length_b 9.0559
_cell_length_c 14.6561
_cell_angle_alpha 90.00
_cell_angle_beta 90.00
_cell_angle_gamma 120.00
loop_
_atom_site_label
_atom_site_fract_x
_atom_site_fract_y
_atom_site_fract_z
Ti1 0.0000 0.2976 0.0000
Ti2 0.0000 0.5000 0.5000
Ti3 0.0251 0.5126 0.1379
Zn1 0.0000 0.0000 0.0894
Pb1 0.0000 0.0000 0.3086
```

# 10
DFT (PBE) results for PmPrCd5 after structural relaxation.

Values from the calculation:
Energy of formation from the pure elements in eV per atom: -0.123
DOS at the Fermi energy in states/eV per cell: 10.53
Energy in eV/atom: -2.14

CIF file:
```
data_PmPrCd5
_chemical_formula_sum 'Pm2 Pr2 Cd10'
_space_group_name_H-M_alt 'C m m m'
_space_group_IT_number 65
_space_group_name_Hall '-C 2 2'
_cell_length_a 7.0092
_cell_length_b 7.6158
_cell_length_c 7.2964
_cell_angle_alpha 90.00
_cell_angle_beta 90.00
_cell_angle_gamma 90.00
loop_
_atom_site_label
_atom_site_fract_x
_atom_site_fract_y
_atom_site_fract_z
Pm1 0.0000 0.0000 0.0000
Pr1 0.0000 0.5000 0.5000
Cd1 0.0000 0.5000 0.0000
Cd2 0.2500 0.2500 0.2559
```

# 11
DFT (PBE) results for SrPrHg17 after structural relaxation.

Values from the calculation:
Energy of formation from the pure elements in eV per atom: -0.146
DOS at the Fermi energy in states/eV per cell: 18.85
Energy in eV/atom: -0.76

CIF file:
```
data_SrPrHg17
_chemical_formula_sum 'Sr3 Pr3 Hg51'
_space_group_name_H-M_alt 'R 3 m'
_space_group_IT_number 160
_space_group_name_Hall 'R 3 -2"'
_cell_length_a 9.9693
_cell_length_b 9.9693
_cell_length_c 17.9196
_cell_angle_alpha 90.00
_cell_angle_beta 90.00
_cell_angle_gamma 120.00
loop_
_atom_site_label
_atom_site_fract_x
_atom_site_fract_y
_atom_site_fract_z
Sr1 0.0000 0.0000 0.0000
Pr1 0.0000 0.0000 0.6874
Hg1 0.0000 0.0000 0.3043
Hg2 0.0000 0.0000 0.4718
Hg3 0.0013 0.3084 0.3623
Hg4 0.0458 0.5229 0.2290
Hg5 0.0959 0.5479 0.5006
Hg6 0.0970 0.5485 0.8430
```

# 12
DFT (PBE) results for PrNd7Ho2 after structural relaxation.

Values from the calculation:
Energy of formation from the pure elements in eV per atom: 0.017
DOS at the Fermi energy in states/eV per cell: 15.91
ΔE to the lowest computed polymorph in meV/atom: 0
Energy in eV/atom: -4.71

CIF file:
```
data_PrNd7Ho2
_chemical_formula_sum 'Pr1 Nd7 Ho2'
_space_group_name_H-M_alt 'P -1'
_space_group_IT_number 2
_space_group_name_Hall '-P 1'
_cell_length_a 6.3129
_cell_length_b 6.3393
_cell_length_c 9.6692
_cell_angle_alpha 109.06
_cell_angle_beta 102.62
_cell_angle_gamma 99.57
loop_
_atom_site_label
_atom_site_fract_x
_atom_site_fract_y
_atom_site_fract_z
Pr1 0.0000 0.0000 0.0000
Nd1 0.0016 0.6012 0.2039
Nd2 0.4972 0.1999 0.8984
Nd3 0.4970 0.6009 0.6976
Nd4 0.5000 0.0000 0.5000
Ho1 0.0008 0.2007 0.4024
```